Below is CdGaAs3 after structural relaxation, with properties calculated at the PBE level.

a = 4.9488 Å, b = 4.9488 Å, c = 4.9488 Å
α = 90.00°, β = 90.00°, γ = 90.00°
Last column: nearest neighbours and their distance in Å.
Space group Pm-3m (No. 221)
Inequivalent atoms, fractional coordinates:
Cd  0.0000  0.0000  0.0000 (multiplicity 1)  12 As 3.50
Ga  0.5000  0.5000  0.5000 (multiplicity 1)  6 As 2.47
As  0.0000  0.5000  0.5000 (multiplicity 3)  2 Ga 2.47

Output
As for the crystal system: cubic. Its formation energy is 0.6477 eV per atom.



Below is Tc3PIr after structural relaxation, with properties calculated at the PBE level.

a = 4.3069 Å, b = 4.3069 Å, c = 4.3069 Å
α = 90.00°, β = 90.00°, γ = 90.00°
Last column: nearest neighbours and their distance in Å.
Space group Pm-3m (No. 221)
Inequivalent atoms, fractional coordinates:
Tc  0.0000  0.0000  0.5000 (multiplicity 3)  2 P 2.15
P  0.0000  0.0000  0.0000 (multiplicity 1)  6 Tc 2.15
Ir  0.5000  0.5000  0.5000 (multiplicity 1)  12 Tc 3.05

Output
As for the crystal system: cubic. Its formation energy is 0.6515 eV per atom.



Below is TbGe2Au3 after structural relaxation, with properties calculated at the PBE level.

a = 16.9624 Å, b = 4.4914 Å, c = 9.9720 Å
α = 90.00°, β = 103.96°, γ = 90.00°
Last column: nearest neighbours and their distance in Å.
Space group C2/m (No. 12)
Inequivalent atoms, fractional coordinates:
Tb  0.0000  0.0000  0.0000 (multiplicity 2)  6 Ge 3.07-3.22, 6 Au 3.28-3.30
Tb  0.1827  0.0000  0.7130 (multiplicity 4)  4 Au 3.02-3.28, 4 Ge 3.15-3.37
Ge  0.0305  0.5000  0.7866 (multiplicity 4)  5 Au 2.52-2.78
Ge  0.1564  0.5000  0.4848 (multiplicity 4)  5 Au 2.60-2.88
Ge  0.1857  0.0000  0.1067 (multiplicity 4)  6 Au 2.53-2.79
Au  0.9996  0.0000  0.3305 (multiplicity 4)  2 Ge 2.53, 2 Au 2.81
Au  0.0000  0.5000  0.5000 (multiplicity 2)  4 Ge 2.69-2.78, 4 Au 2.81
Au  0.1183  0.5000  0.1876 (multiplicity 4)  4 Ge 2.60-2.88, 1 Au 2.88
Au  0.1730  0.5000  0.9362 (multiplicity 4)  4 Ge 2.52-2.79
Au  0.1850  0.0000  0.3750 (multiplicity 4)  4 Ge 2.60-2.72

Output
As for the crystal system: monoclinic. Its formation energy is -0.4043 eV per atom.



| no. | DOS at the Fermi energy (states/eV/f.u.) |
| --- | --- |
| 1 | 4.6 |
| 2 | 6.1 |
| 3 | 1.5 |